[1]
DFT (GGA-PBE) results for a relaxed Ba2Pb crystal.

a = 4.2407 Å, b = 5.1568 Å, c = 11.4499 Å
α = 90.00°, β = 90.00°, γ = 90.00°
Space group Immm (No. 71)
Asymmetric unit:
Ba (0.0000, 0.0000, 0.1546) [4 per cell]
Pb (0.0000, 0.0000, 0.5000) [2 per cell]

Calculated values
D(E_F): 1.76 states/eV/f.u.
energy of formation: -360.0 meV/atom

[2]
DFT (GGA-PBE) results for a relaxed SiGeAuS crystal.

a = 3.2090 Å, b = 4.6965 Å, c = 5.8775 Å
α = 76.14°, β = 89.99°, γ = 70.38°
Space group P1 (No. 1)
Asymmetric unit:
Si (0.0000, 0.0000, 0.0000) [1 per cell]
Ge (0.0295, 0.9480, 0.4360) [1 per cell]
Au (0.7914, 0.4212, 0.6365) [1 per cell]
S (0.6660, 0.6623, 0.0020) [1 per cell]

Calculated values
D(E_F): 0.95 states/eV/f.u.
formation energy from raw total energies: 2 kJ per mole of atoms

What volume values result from the calculations? In sequence: 41.73 20.17 Å³/atom.
What energy values result from the calculations? In sequence: -17.27 -17.37 eV/cell.